# CrHg2As

CrHg2As after structural relaxation (PBE-GGA, Alexandria).

Cell lengths 9.577, 9.577, 4.655 Å; angles 90.00, 90.00, 90.00 degrees
Space group I-42d (No. 122)
Unique sites:
Cr  0.000  0.000  0.000 x4
Hg  0.139  0.250  0.125 x8
As  0.000  0.000  0.500 x4

Values from the calculation:
crystal system	tetragonal
D(E_F)	5.03	states/eV per cell
ΔH_f (0 K)	0.368	eV/atom

# Tb8Er3Pu

Tb8Er3Pu after structural relaxation (PBE-GGA, Alexandria).

Cell lengths 8.590, 8.590, 11.373 Å; angles 90.00, 90.00, 90.00 degrees
Space group I-42m (No. 121)
Unique sites:
Tb  0.127  0.127  0.233 x8
Tb  0.232  0.232  0.969 x8
Er  0.000  0.000  0.500 x2
Er  0.000  0.500  0.250 x4
Pu  0.000  0.000  0.000 x2

Values from the calculation:
crystal system	tetragonal
D(E_F)	31.79	states/eV per cell
ΔH_f (0 K)	0.590	eV/atom